Here is K2AgPb4Au3 after structural relaxation from the Alexandria database. Energies are from PBE-GGA.

The structure in POSCAR format:
```
K2AgPb4Au3
1.0
5.224 0.000 0.000
0.000 5.224 0.000
0.000 0.000 10.993
K Ag Pb Au
2 1 4 3
direct
0.000 0.500 0.240 K
0.500 0.000 0.760 K
0.500 0.500 0.000 Ag
0.000 0.000 0.500 Pb
0.000 0.500 0.885 Pb
0.500 0.000 0.115 Pb
0.500 0.500 0.500 Pb
0.000 0.000 0.000 Au
0.000 0.500 0.625 Au
0.500 0.000 0.375 Au
```

Summary:
Size of the total moment (μB per atom): 0.000
E_tot (eV for the cell shown): -31.23
DFT formation energy (eV per formula unit): -1.521